# Zr2GaHPd PBE-GGA relaxed
data_Zr2GaHPd
_space_group_name_H-M_alt 'P 4/m m m'
_space_group_IT_number 123
_space_group_name_Hall '-P 4 2'
_cell_length_a 4.378
_cell_length_b 4.378
_cell_length_c 4.031
_cell_angle_alpha 90.00
_cell_angle_beta 90.00
_cell_angle_gamma 90.00
loop_
_atom_site_label
_atom_site_fract_x
_atom_site_fract_y
_atom_site_fract_z
Zr1 0.000 0.500 0.000
Ga1 0.000 0.000 0.500
H1 0.500 0.500 0.000
Pd1 0.500 0.500 0.500
# Size of the total moment, Bohr magnetons per cell: 0.0
# Uncorrected energy, eV per atom: -6.26

# Pu3InHg5 PBE-GGA relaxed
data_Pu3InHg5
_space_group_name_H-M_alt 'P 63/m c m'
_space_group_IT_number 193
_space_group_name_Hall '-P 6c 2'
_cell_length_a 9.2149
_cell_length_b 9.2149
_cell_length_c 6.4109
_cell_angle_alpha 90.00
_cell_angle_beta 90.00
_cell_angle_gamma 120.00
loop_
_atom_site_label
_atom_site_fract_x
_atom_site_fract_y
_atom_site_fract_z
Pu1 0.0000 0.3553 0.2500
In1 0.0000 0.0000 0.0000
Hg1 0.0000 0.3086 0.7500
Hg2 0.3333 0.6667 0.0000
# Size of the total moment, Bohr magnetons per cell: 35.1
# Uncorrected energy, eV per atom: -5.34

# Na3TmNp2Se6 PBE-GGA relaxed
data_Na3TmNp2Se6
_space_group_name_H-M_alt 'C 1 2/m 1'
_space_group_IT_number 12
_space_group_name_Hall '-C 2y'
_cell_length_a 7.211
_cell_length_b 12.491
_cell_length_c 7.392
_cell_angle_alpha 90.00
_cell_angle_beta 108.98
_cell_angle_gamma 90.00
loop_
_atom_site_label
_atom_site_fract_x
_atom_site_fract_y
_atom_site_fract_z
Na1 0.000 0.000 0.000
Na2 0.000 0.333 0.000
Tm1 0.000 0.500 0.500
Np1 0.000 0.167 0.500
Se1 0.241 0.336 0.730
Se2 0.249 0.000 0.730
# Size of the total moment, Bohr magnetons per cell: 16.0
# Formation energy (no corrections), eV per atom: -1.35

# BaCd2In PBE-GGA relaxed
data_BaCd2In
_space_group_name_H-M_alt 'I -4 2 d'
_space_group_IT_number 122
_space_group_name_Hall 'I -4 2bw'
_cell_length_a 5.431
_cell_length_b 5.431
_cell_length_c 20.168
_cell_angle_alpha 90.00
_cell_angle_beta 90.00
_cell_angle_gamma 90.00
loop_
_atom_site_label
_atom_site_fract_x
_atom_site_fract_y
_atom_site_fract_z
Ba1 0.000 0.000 0.000
Cd1 0.086 0.250 0.625
In1 0.000 0.000 0.500
# Size of the total moment, Bohr magnetons per cell: 0.0
# Uncorrected energy, eV per atom: -1.75